[1]
5
Lattice="4.550 0.000 0.000 0.000 4.550 0.000 0.000 0.000 4.081" Properties=species:S:1:pos:R:3 comment="Zr2NbTcN | the Alexandria database | PBE | optimized geometry" raw_formation_energy_mev_per_atom=-543 dos_ef_per_ev_cell=5.73 pbc="T T T"
Zr 0.000 2.275 0.000
Zr 2.275 0.000 0.000
N 0.000 0.000 0.000
Tc 2.275 2.275 2.040
Nb 0.000 0.000 2.040



[2]
5
Lattice="-3.612 -2.317 -0.564 2.368 -3.607 -0.344 -0.286 -0.596 4.278" Properties=species:S:1:pos:R:3 comment="Nb3TeN | the Alexandria database | PBE | optimized geometry" raw_formation_energy_mev_per_atom=-337 dos_ef_per_ev_cell=2.28 de_polymorph_ev_per_fu=0.00 pbc="T T T"
Nb -1.806 -1.159 -0.282
Nb -0.143 -0.298 2.139
Nb 1.184 -1.804 -0.172
Te -0.765 -3.260 1.685
N 0.000 0.000 0.000



[3]
5
Lattice="-4.299 2.542 -0.738 -2.622 -4.282 0.524 -0.362 0.829 4.967" Properties=species:S:1:pos:R:3 comment="Nb3TeN | the Alexandria database | PBE | optimized geometry" raw_formation_energy_mev_per_atom=2590 dos_ef_per_ev_cell=8.67 de_polymorph_ev_per_fu=14.63 pbc="T T T"
Nb -0.181 0.415 2.483
Nb -1.311 -2.141 0.262
Nb -2.149 1.271 -0.369
N -3.641 -0.455 2.376
Te 0.000 0.000 0.000



[4]
5
Lattice="-3.822 -1.444 -0.357 0.938 -3.103 2.513 -1.155 2.261 3.222" Properties=species:S:1:pos:R:3 comment="NbTeN3 | the Alexandria database | PBE | optimized geometry" raw_formation_energy_mev_per_atom=790 dos_ef_per_ev_cell=3.32 pbc="T T T"
N -0.578 1.130 1.611
N 0.469 -1.551 1.257
N -1.911 -0.722 -0.179
Te -2.020 -1.143 2.689
Nb 0.000 0.000 0.000



[5]
5
Lattice="5.429 0.000 0.000 0.000 5.429 0.000 0.000 0.000 5.429" Properties=species:S:1:pos:R:3 comment="NbTe3N | the Alexandria database | PBE | optimized geometry" raw_formation_energy_mev_per_atom=1069 dos_ef_per_ev_cell=2.96 de_polymorph_ev_per_fu=1.37 pbc="T T T"
Te 2.714 0.000 0.000
Te 0.000 0.000 2.714
Te 0.000 2.714 0.000
N 2.714 2.714 2.714
Nb 0.000 0.000 0.000



[6]
5
Lattice="4.718 0.000 0.000 0.000 4.718 0.000 0.000 0.000 4.718" Properties=species:S:1:pos:R:3 comment="NbTe3N | the Alexandria database | PBE | optimized geometry" raw_formation_energy_mev_per_atom=796 dos_ef_per_ev_cell=2.79 de_polymorph_ev_per_fu=0.00 pbc="T T T"
Te 0.000 2.359 0.000
Te 0.000 0.000 2.359
Te 2.359 0.000 0.000
N 0.000 0.000 0.000
Nb 2.359 2.359 2.359